This record from Alexandria describes a relaxed structure of TePtO3. The functional is PBE.

Cell: 4.026 4.026 4.026 Å, 90.00 90.00 90.00°
Positions (direct):
Te 0.000 0.000 0.000
Pt 0.500 0.500 0.500
O 0.000 0.500 0.500
O 0.500 0.000 0.500
O 0.500 0.500 0.000

Properties
The energy relative to the elements, uncorrected is 0.11 eV/atom. The calculation puts the magnetization at 0.000 μB/atom. Its total energy is -4.71 eV/atom. The space group is No. 221. The density of states at the Fermi level comes out at 2.60 states/eV/cell.

=====

This record from Alexandria describes a relaxed structure of Te2PtO. The functional is PBE.

Cell: 9.143 9.143 9.143 Å, 19.62 19.62 19.62°
Positions (direct):
Te 0.098 0.098 0.098
Te 0.902 0.902 0.902
Pt 0.000 0.000 0.000
O 0.500 0.500 0.500

Properties
The energy relative to the elements, uncorrected is 0.23 eV/atom. The calculation puts the magnetization at 0.000 μB/atom. Its total energy is -4.09 eV/atom. The space group is No. 166. The density of states at the Fermi level comes out at 2.61 states/eV/cell.

=====

This record from Alexandria describes a relaxed structure of Te2PtO. The functional is PBE.

Cell: 7.128 7.128 7.128 Å, 34.15 34.15 34.15°
Positions (direct):
Te 0.102 0.102 0.102
Te 0.898 0.898 0.898
Pt 0.500 0.500 0.500
O 0.000 0.000 0.000

Properties
The energy relative to the elements, uncorrected is -0.38 eV/atom. The calculation puts the magnetization at 0.000 μB/atom. Its total energy is -4.70 eV/atom. The space group is No. 166. The density of states at the Fermi level comes out at 1.49 states/eV/cell.

=====

This record from Alexandria describes a relaxed structure of TePtO4. The functional is PBE.

Cell: 4.909 5.681 5.497 Å, 90.00 94.43 90.00°
Positions (direct):
Te 0.000 0.168 0.250
Te 0.000 0.832 0.750
Pt 0.500 0.353 0.750
Pt 0.500 0.647 0.250
O 0.229 0.098 0.590
O 0.229 0.902 0.090
O 0.288 0.393 0.060
O 0.288 0.607 0.560
O 0.712 0.393 0.440
O 0.712 0.607 0.940
O 0.771 0.098 0.910
O 0.771 0.902 0.410

Properties
The energy relative to the elements, uncorrected is -0.63 eV/atom. The calculation puts the magnetization at 0.000 μB/atom. Its total energy is -5.47 eV/atom. The space group is No. 13. The density of states at the Fermi level comes out at 0.84 states/eV/cell.